No. 1
Below is a geometry-optimized SmMgCo structure, with properties calculated at the GGA-PBE level.

Lattice parameters (Å, degrees): 8.8530 8.8530 3.8756 90.00 90.00 153.93
With the nearest neighbours (Å) after each atom.
Fractional positions:
Sm1 0.0902 0.9098 0.7500  6 Co 2.94-2.95
Sm2 0.9098 0.0902 0.2500  6 Co 2.94-2.95
Mg1 0.2972 0.7028 0.7500  1 Co 2.89, 4 Mg 3.22
Mg2 0.7028 0.2972 0.2500  1 Co 2.89, 4 Mg 3.22
Co1 0.4646 0.5354 0.7500  2 Co 2.29
Co2 0.5354 0.4646 0.2500  2 Co 2.29

- E (eV per atom) = -4.60
- symmetry = Cmcm (63)
- ΔH_f (0 K) (eV/atom) = -0.124

=====

No. 2
Below is a geometry-optimized SrPbS2 structure, with properties calculated at the GGA-PBE level.

Lattice parameters (Å, degrees): 7.6986 7.6986 7.6986 31.54 31.54 31.54
With the nearest neighbours (Å) after each atom.
Fractional positions:
Sr1 0.0000 0.0000 0.0000  6 S 3.01-3.05
Pb1 0.8311 0.8311 0.8311  6 S 3.02-3.03
S1 0.2481 0.2481 0.2481  3 Pb 3.03, 3 Sr 3.05
S2 0.4152 0.4152 0.4152  3 Sr 3.01, 3 Pb 3.02

- E_form (uncorrected) (meV/atom) = -1253
- E (eV per atom) = -4.66
- symmetry = R3m (160)

=====

No. 3
Below is a geometry-optimized La3Te4Pd3 structure, with properties calculated at the GGA-PBE level.

Lattice parameters (Å, degrees): 8.7482 8.7482 8.7482 109.47 109.47 109.47
With the nearest neighbours (Å) after each atom.
Fractional positions:
La1 0.1250 0.7500 0.8750  4 Pd 3.09
La2 0.2500 0.6250 0.3750  4 Pd 3.09
La3 0.3750 0.2500 0.6250  4 Pd 3.09
La4 0.6250 0.3750 0.2500  4 Pd 3.09
La5 0.7500 0.8750 0.1250  4 Pd 3.09
La6 0.8750 0.1250 0.7500  4 Pd 3.09
Te1 0.0000 0.3353 0.5000  3 Pd 2.82
Te2 0.0000 0.8353 0.5000  3 Pd 2.82
Te3 0.1647 0.1647 0.1647  3 Pd 2.82
Te4 0.3353 0.5000 0.0000  3 Pd 2.82
Te5 0.5000 0.0000 0.3353  3 Pd 2.82
Te6 0.5000 0.0000 0.8353  3 Pd 2.82
Te7 0.6647 0.6647 0.6647  3 Pd 2.82
Te8 0.8353 0.5000 0.0000  3 Pd 2.82
Pd1 0.1250 0.8750 0.2500  4 Te 2.82, 4 La 3.09
Pd2 0.2500 0.1250 0.8750  4 Te 2.82, 4 La 3.09
Pd3 0.3750 0.6250 0.7500  4 Te 2.82, 4 La 3.09
Pd4 0.6250 0.7500 0.3750  4 Te 2.82, 4 La 3.09
Pd5 0.7500 0.3750 0.6250  4 Te 2.82, 4 La 3.09
Pd6 0.8750 0.2500 0.1250  4 Te 2.82, 4 La 3.09

- E_form (uncorrected) (meV/atom) = -1249
- E (eV per atom) = -5.54
- symmetry = I-43d (220)

=====

No. 4
Below is a geometry-optimized Sc2CrSiIr structure, with properties calculated at the GGA-PBE level.

Lattice parameters (Å, degrees): 4.8584 4.8584 4.2329 90.00 90.00 90.00
With the nearest neighbours (Å) after each atom.
Fractional positions:
Sc1 0.0000 0.5000 0.0000  2 Si 2.43
Sc2 0.5000 0.0000 0.0000  2 Si 2.43
Cr1 0.0000 0.0000 0.5000  2 Si 2.12
Si1 0.0000 0.0000 0.0000  2 Cr 2.12
Ir1 0.5000 0.5000 0.5000  8 Sc 3.22, 4 Cr 3.44

- E_form (uncorrected) (meV/atom) = 408
- E (eV per atom) = -6.91
- symmetry = P4/mmm (123)

=====

No. 5
Below is a geometry-optimized Ca2HgRh structure, with properties calculated at the GGA-PBE level.

Lattice parameters (Å, degrees): 4.2212 4.2212 7.6974 104.81 104.81 58.16
With the nearest neighbours (Å) after each atom.
Fractional positions:
Ca1 0.2321 0.2321 0.1969  3 Rh 2.81-2.82
Ca2 0.7679 0.7679 0.8031  3 Rh 2.81-2.82
Hg1 0.0000 0.0000 0.5000  6 Ca 3.27-3.30
Rh1 0.5000 0.5000 0.0000  6 Ca 2.81-2.82

- E (eV per atom) = -3.15
- symmetry = C2/m (12)
- ΔH_f (0 K) (eV/atom) = -0.239

=====

No. 6
Below is a geometry-optimized TiOsW2 structure, with properties calculated at the GGA-PBE level.

Lattice parameters (Å, degrees): 5.7825 5.7825 5.7825 101.71 101.71 126.45
With the nearest neighbours (Å) after each atom.
Fractional positions:
Ti1 0.0000 0.0000 0.0000  2 Os 2.61, 4 W 2.79
Ti2 0.7500 0.2500 0.5000  2 Os 2.61, 4 W 2.79
Os1 0.2500 0.7500 0.5000  4 W 2.54, 2 Ti 2.61
Os2 0.5000 0.5000 0.0000  4 W 2.54, 2 Ti 2.61
W1 0.1499 0.6250 0.0249  2 Os 2.54, 2 W 2.63, 2 Ti 2.79
W2 0.3750 0.3999 0.5249  2 Os 2.54, 2 W 2.63, 2 Ti 2.79
W3 0.6001 0.1250 0.9751  2 Os 2.54, 2 W 2.63, 2 Ti 2.79
W4 0.8750 0.8501 0.4751  2 Os 2.54, 2 W 2.63, 2 Ti 2.79

- E (eV per atom) = -10.60
- symmetry = I-42d (122)
- ΔH_f (0 K) (eV/atom) = 0.656

=====

No. 7
Below is a geometry-optimized MnTeSe2N structure, with properties calculated at the GGA-PBE level.

Lattice parameters (Å, degrees): 5.0745 5.0745 3.5540 90.00 90.00 90.00
With the nearest neighbours (Å) after each atom.
Fractional positions:
Mn1 0.0000 0.0000 0.0000  2 N 1.78
Te1 0.5000 0.5000 0.5000  8 Se 3.10
Se1 0.0000 0.5000 0.0000  2 Mn 2.54
Se2 0.5000 0.0000 0.0000  2 Mn 2.54
N1 0.0000 0.0000 0.5000  2 Mn 1.78

- E_form (uncorrected) (meV/atom) = 240
- E (eV per atom) = -5.28
- symmetry = P4/mmm (123)

=====

No. 8
Below is a geometry-optimized PmYGaSn structure, with properties calculated at the GGA-PBE level.

Lattice parameters (Å, degrees): 5.2878 5.2878 5.2878 60.00 60.00 60.00
With the nearest neighbours (Å) after each atom.
Fractional positions:
Pm1 0.0000 0.0000 0.0000  4 Sn 3.24, 4 Ga 3.24
Y1 0.5000 0.5000 0.5000  4 Sn 3.24, 4 Ga 3.24
Ga1 0.2500 0.2500 0.2500  4 Pm 3.24, 4 Y 3.24
Sn1 0.7500 0.7500 0.7500  4 Pm 3.24, 4 Y 3.24

- E (eV per atom) = -5.13
- symmetry = F-43m (216)
- ΔH_f (0 K) (eV/atom) = -0.566